No. 1
A relaxed Pm3Ho crystal, computed with PBE.

a b c (Å): 7.3380 7.3380 5.8128
angles (deg): 90.00 90.00 120.00
Space group P6_3/mmc (No. 194)
One atom of each set of equivalent atoms:
Pm 0.1673 0.3346 0.2500
Ho 0.3333 0.6667 0.7500

Distance to the lowest polymorph of the same formula = 22 meV/atom
Energy of formation = 22 meV per atom

No. 2
A relaxed NaSrCa3 crystal, computed with PBE.

a b c (Å): 3.9618 7.6787 14.5973
angles (deg): 90.00 97.72 90.00
Space group P2_1/m (No. 11)
One atom of each set of equivalent atoms:
Na 0.1763 0.2500 0.3604
Sr 0.2081 0.7500 0.4101
Ca 0.0005 0.2500 0.0019
Ca 0.4053 0.0049 0.8095

Distance to the lowest polymorph of the same formula = 0 meV/atom
Energy of formation = 48 meV per atom

No. 3
A relaxed CaAgBi3 crystal, computed with PBE.

a b c (Å): 5.5707 5.5707 5.5707
angles (deg): 90.00 90.00 90.00
Space group Pm-3m (No. 221)
One atom of each set of equivalent atoms:
Ca 0.0000 0.0000 0.0000
Ag 0.5000 0.5000 0.5000
Bi 0.0000 0.5000 0.5000

Distance to the lowest polymorph of the same formula = 0 meV/atom
Energy of formation = 103 meV per atom

No. 4
A relaxed NaLa2Ho3Te6 crystal, computed with PBE.

a b c (Å): 19.5175 4.4106 8.9939
angles (deg): 90.00 104.29 90.00
Space group C2/m (No. 12)
One atom of each set of equivalent atoms:
Na 0.0000 0.0000 0.0000
La 0.1692 0.5000 0.3385
Ho 0.0000 0.0000 0.5000
Ho 0.1674 0.5000 0.8262
Te 0.0035 0.5000 0.7451
Te 0.1612 0.0000 0.5913
Te 0.1681 0.0000 0.0695

Formation energy from raw total energies = -1.393 eV per atom

No. 5
A relaxed As2Ru crystal, computed with PBE.

a b c (Å): 5.8730 5.8730 5.7277
angles (deg): 90.00 90.00 90.00
Space group I4/mcm (No. 140)
One atom of each set of equivalent atoms:
As 0.1560 0.3440 0.0000
Ru 0.0000 0.0000 0.2500

Energy of formation = -68 meV per atom

No. 6
A relaxed Ba3DyIr2O9 crystal, computed with PBE.

a b c (Å): 5.8907 5.8907 7.2302
angles (deg): 90.00 90.00 120.00
Space group P-3m1 (No. 164)
One atom of each set of equivalent atoms:
Ba 0.0000 0.0000 0.0000
Ba 0.3333 0.6667 0.6729
Dy 0.0000 0.0000 0.5000
Ir 0.3333 0.6667 0.1587
O 0.0000 0.5000 0.0000
O 0.1762 0.3525 0.3197

Formation energy from raw total energies = -2.078 eV per atom

No. 7
A relaxed HfSbTe2Pt crystal, computed with PBE.

a b c (Å): 5.4032 5.4032 5.5133
angles (deg): 90.00 90.00 90.00
Space group P4/mmm (No. 123)
One atom of each set of equivalent atoms:
Hf 0.0000 0.0000 0.0000
Sb 0.0000 0.0000 0.5000
Te 0.0000 0.5000 0.0000
Pt 0.5000 0.5000 0.5000

Distance to the lowest polymorph of the same formula = 154 meV/atom
Formation energy from raw total energies = 0.641 eV per atom

No. 8
A relaxed TaSiO4 crystal, computed with PBE.

a b c (Å): 5.6025 5.6025 8.6937
angles (deg): 90.00 90.00 90.00
Space group I-4 (No. 82)
One atom of each set of equivalent atoms:
Ta 0.0000 0.0000 0.0000
Si 0.0000 0.5000 0.7500
O 0.0020 0.7366 0.8592

Formation energy from raw total energies = -2.411 eV per atom

no.,total magnetic moment (μB/f.u.)
1,0.0
2,0.0
3,0.0
4,0.0
5,0.0
6,3.1
7,0.0
8,1.0